# 1
Entry from Alexandria via LeMat-Bulk: a geometry-optimized Sc3TcI structure (PBE).

Summary:
Polymorph energy (0 for the lowest one): 0.000 eV/atom
Spin magnetization: 0.00 μB per formula unit
Uncorrected formation energy: 0.4 eV per formula unit
SG: Pm-3m, No. 221
Mass density: 4.50 Mg/m³
N(E_F): 1.091 states/eV/atom

Cell: 5.1011 5.1011 5.1011 Å, 90.00 90.00 90.00°
Last column: nearest neighbours and their distance in Å.
Fractional positions:
Sc (0.0000, 0.0000, 0.5000)  2 Tc 2.55
Sc (0.0000, 0.5000, 0.0000)  2 Tc 2.55
Sc (0.5000, 0.0000, 0.0000)  2 Tc 2.55
Tc (0.0000, 0.0000, 0.0000)  6 Sc 2.55
I (0.5000, 0.5000, 0.5000)  12 Sc 3.61



# 2
Entry from Alexandria via LeMat-Bulk: a geometry-optimized Sc2TcI structure (PBE).

Summary:
Polymorph energy (0 for the lowest one): 0.312 eV/atom
Spin magnetization: 0.00 μB per formula unit
Uncorrected formation energy: 1.0 eV per formula unit
SG: I-42d, No. 122
Mass density: 5.78 Mg/m³
N(E_F): 1.043 states/eV/atom

Cell: 6.2161 6.2161 6.2161 Å, 104.87 104.87 119.12°
Last column: nearest neighbours and their distance in Å.
Fractional positions:
Sc (0.0732, 0.6250, 0.9482)  2 Tc 2.54
Sc (0.3750, 0.3232, 0.4482)  2 Tc 2.54
Sc (0.6768, 0.1250, 0.0518)  2 Tc 2.54
Sc (0.8750, 0.9268, 0.5518)  2 Tc 2.54
Tc (0.0000, 0.0000, 0.0000)  4 Sc 2.54
Tc (0.7500, 0.2500, 0.5000)  4 Sc 2.54
I (0.2500, 0.7500, 0.5000)  8 Sc 3.07-3.38, 2 Tc 3.15
I (0.5000, 0.5000, 0.0000)  8 Sc 3.07-3.38, 2 Tc 3.15



# 3
Entry from Alexandria via LeMat-Bulk: a geometry-optimized ScTcI2 structure (PBE).

Summary:
Polymorph energy (0 for the lowest one): 0.011 eV/atom
Spin magnetization: 0.00 μB per formula unit
Uncorrected formation energy: 1.4 eV per formula unit
SG: I-42d, No. 122
Mass density: 6.21 Mg/m³
N(E_F): 0.642 states/eV/atom

Cell: 9.1375 9.1375 9.1375 Å, 148.12 148.12 45.70°
Last column: nearest neighbours and their distance in Å.
Fractional positions:
Sc (0.0000, 0.0000, 0.0000)  4 I 2.81
Sc (0.7500, 0.2500, 0.5000)  4 I 2.81
Tc (0.2500, 0.7500, 0.5000)  4 I 2.70
Tc (0.5000, 0.5000, 0.0000)  4 I 2.70
I (0.1473, 0.6250, 0.0223)  2 Tc 2.70, 2 Sc 2.81
I (0.3750, 0.3973, 0.5223)  2 Tc 2.70, 2 Sc 2.81
I (0.6027, 0.1250, 0.9777)  2 Tc 2.70, 2 Sc 2.81
I (0.8750, 0.8527, 0.4777)  2 Tc 2.70, 2 Sc 2.81



# 4
Entry from Alexandria via LeMat-Bulk: a geometry-optimized Sc3TcI structure (PBE).

Summary:
Polymorph energy (0 for the lowest one): 0.958 eV/atom
Spin magnetization: 0.00 μB per formula unit
Uncorrected formation energy: 5.2 eV per formula unit
SG: Pm-3m, No. 221
Mass density: 4.44 Mg/m³
N(E_F): 1.846 states/eV/atom

Cell: 5.1259 5.1259 5.1259 Å, 90.00 90.00 90.00°
Last column: nearest neighbours and their distance in Å.
Fractional positions:
Sc (0.0000, 0.0000, 0.5000)  2 I 2.56
Sc (0.0000, 0.5000, 0.0000)  2 I 2.56
Sc (0.5000, 0.0000, 0.0000)  2 I 2.56
Tc (0.5000, 0.5000, 0.5000)  12 Sc 3.62
I (0.0000, 0.0000, 0.0000)  6 Sc 2.56



# 5
Entry from Alexandria via LeMat-Bulk: a geometry-optimized Sc2TcI structure (PBE).

Summary:
Polymorph energy (0 for the lowest one): 0.205 eV/atom
Spin magnetization: 0.00 μB per formula unit
Uncorrected formation energy: 0.6 eV per formula unit
SG: Fm-3m, No. 225
Mass density: 6.36 Mg/m³
N(E_F): 0.337 states/eV/atom

Cell: 4.8794 4.8794 4.8794 Å, 60.00 60.00 60.00°
Last column: nearest neighbours and their distance in Å.
Fractional positions:
Sc (0.2500, 0.2500, 0.2500)  4 Tc 2.99, 4 I 2.99
Sc (0.7500, 0.7500, 0.7500)  4 Tc 2.99, 4 I 2.99
Tc (0.0000, 0.0000, 0.0000)  8 Sc 2.99
I (0.5000, 0.5000, 0.5000)  8 Sc 2.99



# 6
Entry from Alexandria via LeMat-Bulk: a geometry-optimized ScTcI2 structure (PBE).

Summary:
Polymorph energy (0 for the lowest one): 0.000 eV/atom
Spin magnetization: 2.07 μB per formula unit
Uncorrected formation energy: 1.3 eV per formula unit
SG: Fm-3m, No. 225
Mass density: 7.38 Mg/m³
N(E_F): 1.564 states/eV/atom

Cell: 5.0175 5.0175 5.0175 Å, 60.00 60.00 60.00°
Last column: nearest neighbours and their distance in Å.
Fractional positions:
Sc (0.0000, 0.0000, 0.0000)  8 I 3.07
Tc (0.5000, 0.5000, 0.5000)  8 I 3.07
I (0.2500, 0.2500, 0.2500)  4 Tc 3.07, 4 Sc 3.07
I (0.7500, 0.7500, 0.7500)  4 Tc 3.07, 4 Sc 3.07



# 7
Entry from Alexandria via LeMat-Bulk: a geometry-optimized ScTcW2I structure (PBE).

Summary:
Spin magnetization: 0.00 μB per formula unit
Uncorrected formation energy: 8.1 eV per formula unit
SG: P4/mmm, No. 123
Mass density: 8.83 Mg/m³
N(E_F): 1.439 states/eV/atom

Cell: 4.7393 4.7393 5.3376 Å, 90.00 90.00 90.00°
Last column: nearest neighbours and their distance in Å.
Fractional positions:
Sc (0.0000, 0.0000, 0.0000)  4 I 3.35, 8 W 3.57
Tc (0.5000, 0.5000, 0.5000)  4 W 2.37
W (0.0000, 0.5000, 0.5000)  2 Tc 2.37
W (0.5000, 0.0000, 0.5000)  2 Tc 2.37
I (0.5000, 0.5000, 0.0000)  2 Tc 2.67



# 8
Entry from Alexandria via LeMat-Bulk: a geometry-optimized Sc2Te2I structure (PBE).

Summary:
Polymorph energy (0 for the lowest one): 0.467 eV/atom
Spin magnetization: 1.00 μB per formula unit
Uncorrected formation energy: -3.5 eV per formula unit
SG: I4/mmm, No. 139
Mass density: 4.70 Mg/m³
N(E_F): 0.000 states/eV/atom

Cell: 7.3766 7.3766 7.3766 Å, 139.67 139.67 58.36°
Last column: nearest neighbours and their distance in Å.
Fractional positions:
Sc (0.1397, 0.1397, 0.0000)  4 Te 2.91
Sc (0.8603, 0.8603, 0.0000)  4 Te 2.91
Te (0.2500, 0.7500, 0.5000)  4 Sc 2.91
Te (0.7500, 0.2500, 0.5000)  4 Sc 2.91
I (0.5000, 0.5000, 0.0000)  8 Sc 4.02, 8 Te 4.10